A plane-wave DFT calculation with PBE+U was carried out for a relaxed Tl4Ni7P6O24 crystal.

a = 10.850 Å, b = 14.464 Å, c = 6.772 Å
α = 90.00°, β = 103.40°, γ = 90.00°
Space group Cm (No. 8)
Asymmetric unit:
Tl1 0.000 0.000 0.000 x2
Tl2 0.117 0.500 0.977 x2
Tl3 0.296 0.114 0.946 x4
Ni1 0.083 0.197 0.293 x4
Ni2 0.244 0.311 0.655 x4
Ni3 0.415 0.121 0.470 x4
Ni4 0.418 0.500 0.479 x2
P1 0.001 0.200 0.747 x4
P2 0.112 0.500 0.469 x2
P3 0.217 0.000 0.471 x2
P4 0.325 0.307 0.206 x4
O1 0.064 0.192 0.972 x4
O2 0.104 0.211 0.619 x4
O3 0.107 0.411 0.601 x4
O4 0.111 0.000 0.582 x2
O5 0.218 0.090 0.341 x4
O6 0.224 0.296 0.333 x4
O7 0.227 0.500 0.378 x2
O8 0.266 0.317 0.979 x4
O9 0.354 0.000 0.616 x2
O10 0.404 0.216 0.695 x4
O11 0.412 0.386 0.678 x4
O12 0.419 0.220 0.252 x4
O13 0.420 0.389 0.278 x4
O14 0.482 0.000 0.309 x2

Values from the calculation:
The calculation puts the calculated volume at 12.61 Å³/atom. Its total DFT energy (no corrections) is -249.17 eV per formula unit. As for the density of states at the Fermi level: 0.000 states/eV per atom.